Compound: HoPa2N3
Source: Alexandria via LeMat-Bulk
Functional: GGA-PBE
Structure: optimized geometry

Cell and atoms, written as POSCAR:
```
HoPa2N3
1.0
-1.738 2.463 5.231
1.738 -2.463 5.231
1.738 2.463 -5.231
Ho Pa N
1 2 3
direct
0.000 0.000 0.000 Ho
0.334 0.334 0.000 Pa
0.666 0.666 0.000 Pa
0.169 0.669 0.500 N
0.500 0.000 0.500 N
0.831 0.331 0.500 N
```

Output
Volume   14.93 A^3/atom
Total magnetization   0.0 Bohr magnetons per cell
ΔE_f (raw)   -9.913 eV per formula unit

---

Compound: Tb3ErO6
Source: Alexandria via LeMat-Bulk
Functional: GGA-PBE
Structure: optimized geometry

Cell and atoms, written as POSCAR:
```
Tb3ErO6
1.0
4.838 2.793 3.781
-4.838 2.793 3.781
0.000 -5.586 3.781
Tb Er O
6 2 12
direct
0.057 0.564 0.752 Tb
0.248 0.943 0.436 Tb
0.436 0.248 0.943 Tb
0.564 0.752 0.057 Tb
0.752 0.057 0.564 Tb
0.943 0.436 0.248 Tb
0.000 0.000 0.000 Er
0.500 0.500 0.500 Er
0.031 0.900 0.685 O
0.100 0.315 0.969 O
0.187 0.593 0.430 O
0.315 0.969 0.100 O
0.407 0.570 0.813 O
0.430 0.187 0.593 O
0.570 0.813 0.407 O
0.593 0.430 0.187 O
0.685 0.031 0.900 O
0.813 0.407 0.570 O
0.900 0.685 0.031 O
0.969 0.100 0.315 O
```

Output
Volume   15.33 A^3/atom
Total magnetization   0.0 Bohr magnetons per cell
ΔE_f (raw)   -35.708 eV per formula unit

---

Compound: BiOsWCl2
Source: Alexandria via LeMat-Bulk
Functional: GGA-PBE
Structure: optimized geometry

Cell and atoms, written as POSCAR:
```
BiOsWCl2
1.0
4.525 0.000 0.000
0.000 4.525 0.000
0.000 0.000 6.126
Bi Os W Cl
1 1 1 2
direct
0.000 0.000 0.000 Bi
0.000 0.000 0.500 Os
0.500 0.500 0.000 W
0.000 0.500 0.500 Cl
0.500 0.000 0.500 Cl
```

Output
Volume   25.09 A^3/atom
Total magnetization   3.4 Bohr magnetons per cell
ΔE_f (raw)   6.853 eV per formula unit

---

Compound: ZrMo2
Source: Alexandria via LeMat-Bulk
Functional: GGA-PBE
Structure: optimized geometry

Cell and atoms, written as POSCAR:
```
ZrMo2
1.0
-1.357 2.434 4.077
1.357 -2.434 4.077
1.357 2.434 -4.077
Zr Mo
1 2
direct
0.000 0.000 0.000 Zr
0.338 0.338 0.000 Mo
0.662 0.662 0.000 Mo
```

Output
Volume   17.96 A^3/atom
Total magnetization   0.0 Bohr magnetons per cell
Polymorph energy (0 for the lowest one)   425 meV per atom

---

Compound: Pr2ThOs
Source: Alexandria via LeMat-Bulk
Functional: GGA-PBE
Structure: optimized geometry

Cell and atoms, written as POSCAR:
```
Pr2ThOs
1.0
1.757 1.014 11.226
-1.757 1.014 11.226
0.000 -2.029 11.226
Pr Th Os
2 1 1
direct
0.105 0.105 0.105 Pr
0.895 0.895 0.895 Pr
0.000 0.000 0.000 Th
0.500 0.500 0.500 Os
```

Output
Volume   30.01 A^3/atom
Total magnetization   0.0 Bohr magnetons per cell
Polymorph energy (0 for the lowest one)   624 meV per atom

---

Compound: TlAsRh2
Source: Alexandria via LeMat-Bulk
Functional: GGA-PBE
Structure: optimized geometry

Cell and atoms, written as POSCAR:
```
TlAsRh2
1.0
3.403 0.000 0.000
0.000 3.403 0.000
0.000 0.000 6.204
Tl As Rh
1 1 2
direct
0.000 0.000 0.000 Tl
0.500 0.500 0.367 As
0.000 0.000 0.486 Rh
0.500 0.500 0.763 Rh
```

Output
Volume   17.96 A^3/atom
Final energy   -21.9 eV for the cell shown
Total magnetization   0.0 Bohr magnetons per cell

---

Compound: DyHo12C7
Source: Alexandria via LeMat-Bulk
Functional: GGA-PBE
Structure: optimized geometry

Cell and atoms, written as POSCAR:
```
DyHo12C7
1.0
6.524 3.767 2.919
-6.524 3.767 2.919
0.000 -7.533 2.919
Dy Ho C
1 12 7
direct
0.000 0.000 0.000 Dy
0.070 0.214 0.691 Ho
0.160 0.443 0.374 Ho
0.214 0.691 0.070 Ho
0.309 0.930 0.786 Ho
0.374 0.160 0.443 Ho
0.443 0.374 0.160 Ho
0.557 0.626 0.840 Ho
0.626 0.840 0.557 Ho
0.691 0.070 0.214 Ho
0.786 0.309 0.930 Ho
0.840 0.557 0.626 Ho
0.930 0.786 0.309 Ho
0.042 0.116 0.355 C
0.116 0.355 0.042 C
0.355 0.042 0.116 C
0.500 0.500 0.500 C
0.645 0.958 0.884 C
0.884 0.645 0.958 C
0.958 0.884 0.645 C
```

Output
Volume   21.52 A^3/atom
Final energy   -129.3 eV for the cell shown
Total magnetization   0.0 Bohr magnetons per cell

---

Compound: K3AlTe3
Source: Alexandria via LeMat-Bulk
Functional: GGA-PBE
Structure: optimized geometry

Cell and atoms, written as POSCAR:
```
K3AlTe3
1.0
8.743 0.000 0.000
0.000 14.216 0.000
-6.783 0.000 8.889
K Al Te
12 4 12
direct
0.140 0.112 0.476 K
0.140 0.388 0.976 K
0.180 0.105 0.903 K
0.180 0.395 0.403 K
0.352 0.689 0.569 K
0.352 0.811 0.069 K
0.648 0.189 0.931 K
0.648 0.311 0.431 K
0.820 0.605 0.597 K
0.820 0.895 0.097 K
0.860 0.612 0.024 K
0.860 0.888 0.524 K
0.445 0.067 0.341 Al
0.445 0.433 0.841 Al
0.555 0.567 0.159 Al
0.555 0.933 0.659 Al
0.171 0.194 0.197 Te
0.171 0.306 0.697 Te
0.323 0.601 0.859 Te
0.323 0.899 0.359 Te
0.360 0.556 0.266 Te
0.360 0.944 0.766 Te
0.640 0.056 0.234 Te
0.640 0.444 0.734 Te
0.677 0.101 0.641 Te
0.677 0.399 0.141 Te
0.829 0.694 0.303 Te
0.829 0.806 0.803 Te
```

Output
Volume   39.46 A^3/atom
Total magnetization   0.0 Bohr magnetons per cell
Polymorph energy (0 for the lowest one)   4 meV per atom
ΔE_f (raw)   -6.625 eV per formula unit

---

Compound: CrFe2Ru
Source: Alexandria via LeMat-Bulk
Functional: GGA-PBE
Structure: optimized geometry

Cell and atoms, written as POSCAR:
```
CrFe2Ru
1.0
1.450 -2.074 0.000
1.450 2.074 0.000
0.000 0.000 8.272
Cr Fe Ru
1 2 1
direct
0.000 0.000 0.000 Cr
0.500 0.500 0.240 Fe
0.500 0.500 0.760 Fe
0.000 0.000 0.500 Ru
```

Output
Volume   12.43 A^3/atom
Final energy   -35.0 eV for the cell shown
Total magnetization   5.2 Bohr magnetons per cell

---

Compound: LiAlGe2S6
Source: Alexandria via LeMat-Bulk
Functional: GGA-PBE
Structure: optimized geometry

Cell and atoms, written as POSCAR:
```
LiAlGe2S6
1.0
6.480 -6.086 0.000
6.480 6.086 0.000
-2.782 0.000 5.946
Li Al Ge S
2 2 4 12
direct
0.191 0.809 0.750 Li
0.809 0.191 0.250 Li
0.194 0.806 0.250 Al
0.806 0.194 0.750 Al
0.207 0.372 0.796 Ge
0.372 0.207 0.296 Ge
0.628 0.793 0.704 Ge
0.793 0.628 0.204 Ge
0.015 0.185 0.610 S
0.118 0.618 0.909 S
0.185 0.015 0.110 S
0.304 0.418 0.537 S
0.382 0.882 0.591 S
0.418 0.304 0.037 S
0.582 0.696 0.963 S
0.618 0.118 0.409 S
0.696 0.582 0.463 S
0.815 0.985 0.890 S
0.882 0.382 0.091 S
0.985 0.815 0.390 S
```

Output
Volume   23.45 A^3/atom
Total magnetization   0.0 Bohr magnetons per cell
ΔE_f (raw)   -5.928 eV per formula unit

---

Compound: CaLaPmTh
Source: Alexandria via LeMat-Bulk
Functional: GGA-PBE
Structure: optimized geometry

Cell and atoms, written as POSCAR:
```
CaLaPmTh
1.0
0.000 4.142 4.142
4.142 0.000 4.142
4.142 4.142 0.000
Ca La Pm Th
1 1 1 1
direct
0.000 0.000 0.000 Ca
0.750 0.750 0.750 La
0.250 0.250 0.250 Pm
0.500 0.500 0.500 Th
```

Output
Volume   35.53 A^3/atom
Total magnetization   0.1 Bohr magnetons per cell
Polymorph energy (0 for the lowest one)   187 meV per atom

---

Compound: TaTcNi2
Source: Alexandria via LeMat-Bulk
Functional: GGA-PBE
Structure: optimized geometry

Cell and atoms, written as POSCAR:
```
TaTcNi2
1.0
2.656 -3.785 0.000
2.656 3.785 0.000
-0.010 0.000 2.684
Ta Tc Ni
1 1 2
direct
0.000 0.000 0.000 Ta
0.500 0.500 0.000 Tc
0.000 0.500 0.500 Ni
0.500 0.000 0.500 Ni
```

Output
Volume   13.49 A^3/atom
Total magnetization   0.0 Bohr magnetons per cell
Polymorph energy (0 for the lowest one)   90 meV per atom

---

Compound: Li4Mg3Pd4
Source: Alexandria via LeMat-Bulk
Functional: GGA-PBE
Structure: optimized geometry

Cell and atoms, written as POSCAR:
```
Li4Mg3Pd4
1.0
3.020 0.000 0.000
-0.001 3.551 0.000
-1.487 -1.763 15.927
Li Mg Pd
4 3 4
direct
0.085 0.087 0.174 Li
0.275 0.274 0.547 Li
0.725 0.726 0.453 Li
0.915 0.913 0.826 Li
0.000 0.000 0.000 Mg
0.362 0.362 0.723 Mg
0.638 0.638 0.277 Mg
0.182 0.182 0.366 Pd
0.453 0.452 0.903 Pd
0.547 0.548 0.097 Pd
0.818 0.818 0.634 Pd
```

Output
Volume   15.53 A^3/atom
Final energy   -38.6 eV for the cell shown
Total magnetization   0.0 Bohr magnetons per cell

---

Compound: Sc2BePt2
Source: Alexandria via LeMat-Bulk
Functional: GGA-PBE
Structure: optimized geometry

Cell and atoms, written as POSCAR:
```
Sc2BePt2
1.0
7.662 0.000 0.000
0.000 7.662 0.000
0.000 0.000 3.143
Sc Be Pt
4 2 4
direct
0.158 0.342 0.000 Sc
0.342 0.842 0.000 Sc
0.658 0.158 0.000 Sc
0.842 0.658 0.000 Sc
0.000 0.000 0.000 Be
0.500 0.500 0.000 Be
0.139 0.639 0.500 Pt
0.361 0.139 0.500 Pt
0.639 0.861 0.500 Pt
0.861 0.361 0.500 Pt
```

Output
Volume   18.45 A^3/atom
Total magnetization   0.0 Bohr magnetons per cell
Polymorph energy (0 for the lowest one)   342 meV per atom

---

Compound: Ac3Zn2Ga9
Source: Alexandria via LeMat-Bulk
Functional: GGA-PBE
Structure: optimized geometry

Cell and atoms, written as POSCAR:
```
Ac3Zn2Ga9
1.0
-2.233 5.150 6.750
2.233 -5.150 6.750
2.233 5.150 -6.750
Ac Zn Ga
3 2 9
direct
0.000 0.000 0.000 Ac
0.320 0.320 0.000 Ac
0.680 0.680 0.000 Ac
0.275 0.500 0.775 Zn
0.725 0.500 0.225 Zn
0.033 0.664 0.369 Ga
0.127 0.856 0.271 Ga
0.295 0.664 0.631 Ga
0.415 0.144 0.271 Ga
0.500 0.000 0.500 Ga
0.585 0.856 0.729 Ga
0.705 0.336 0.369 Ga
0.873 0.144 0.729 Ga
0.967 0.336 0.631 Ga
```

Output
Volume   22.18 A^3/atom
Final energy   -48.4 eV for the cell shown
Total magnetization   0.0 Bohr magnetons per cell

---

Compound: CaMoSe2
Source: Alexandria via LeMat-Bulk
Functional: GGA-PBE
Structure: optimized geometry

Cell and atoms, written as POSCAR:
```
CaMoSe2
1.0
-1.714 1.812 6.629
1.714 -1.812 6.629
1.714 1.812 -6.629
Ca Mo Se
1 1 2
direct
0.000 0.000 0.000 Ca
0.251 0.751 0.500 Mo
0.395 0.395 0.000 Se
0.671 0.171 0.500 Se
```

Output
Volume   20.59 A^3/atom
Total magnetization   0.0 Bohr magnetons per cell
Polymorph energy (0 for the lowest one)   87 meV per atom
ΔE_f (raw)   -2.763 eV per formula unit

---

Compound: CdInN2O
Source: Alexandria via LeMat-Bulk
Functional: GGA-PBE
Structure: optimized geometry

Cell and atoms, written as POSCAR:
```
CdInN2O
1.0
4.307 0.000 0.000
0.000 4.307 0.000
0.000 0.000 4.216
Cd In N O
1 1 2 1
direct
0.000 0.000 0.000 Cd
0.500 0.500 0.500 In
0.000 0.500 0.500 N
0.500 0.000 0.500 N
0.500 0.500 0.000 O
```

Output
Volume   15.64 A^3/atom
Total magnetization   3.0 Bohr magnetons per cell
ΔE_f (raw)   5.229 eV per formula unit

---

Compound: YFe2Ir
Source: Alexandria via LeMat-Bulk
Functional: GGA-PBE
Structure: optimized geometry

Cell and atoms, written as POSCAR:
```
YFe2Ir
1.0
3.707 0.000 0.000
0.000 4.112 0.000
0.000 0.000 4.288
Y Fe Ir
1 2 1
direct
0.000 0.000 0.000 Y
0.000 0.500 0.500 Fe
0.500 0.000 0.500 Fe
0.500 0.500 0.000 Ir
```

Output
Volume   16.34 A^3/atom
Final energy   -32.2 eV for the cell shown
Total magnetization   5.5 Bohr magnetons per cell

---

Compound: Cs3K5Rb4
Source: Alexandria via LeMat-Bulk
Functional: GGA-PBE
Structure: optimized geometry

Cell and atoms, written as POSCAR:
```
Cs3K5Rb4
1.0
10.493 -4.220 0.000
10.493 4.220 0.000
-2.414 0.000 12.624
Cs K Rb
3 5 4
direct
0.000 0.000 0.000 Cs
0.266 0.266 0.859 Cs
0.734 0.734 0.141 Cs
0.042 0.042 0.662 K
0.190 0.190 0.440 K
0.500 0.500 0.000 K
0.810 0.810 0.560 K
0.958 0.958 0.338 K
0.354 0.354 0.245 Rb
0.420 0.420 0.618 Rb
0.580 0.580 0.382 Rb
0.646 0.646 0.755 Rb
```

Output
Volume   93.17 A^3/atom
Final energy   -11.4 eV for the cell shown
Total magnetization   0.0 Bohr magnetons per cell

---

Compound: Rb2NpBr2O4
Source: Alexandria via LeMat-Bulk
Functional: GGA-PBE
Structure: optimized geometry

Cell and atoms, written as POSCAR:
```
Rb2NpBr2O4
1.0
-3.524 3.524 4.848
3.524 -3.524 4.848
3.524 3.524 -4.848
Rb Np Br O
2 1 2 4
direct
0.250 0.750 0.500 Rb
0.750 0.250 0.500 Rb
0.000 0.000 0.000 Np
0.297 0.297 0.000 Br
0.703 0.703 0.000 Br
0.187 0.187 0.373 O
0.187 0.813 0.000 O
0.813 0.187 0.000 O
0.813 0.813 0.627 O
```

Output
Volume   26.76 A^3/atom
Total magnetization   1.1 Bohr magnetons per cell
ΔE_f (raw)   -16.883 eV per formula unit

---

Compound: Mg2Tl2F
Source: Alexandria via LeMat-Bulk
Functional: GGA-PBE
Structure: optimized geometry

Cell and atoms, written as POSCAR:
```
Mg2Tl2F
1.0
7.238 0.000 0.000
0.000 7.238 0.000
0.000 0.000 4.652
Mg Tl F
4 4 2
direct
0.150 0.350 0.000 Mg
0.350 0.850 0.000 Mg
0.650 0.150 0.000 Mg
0.850 0.650 0.000 Mg
0.166 0.666 0.500 Tl
0.334 0.166 0.500 Tl
0.666 0.834 0.500 Tl
0.834 0.334 0.500 Tl
0.000 0.000 0.500 F
0.500 0.500 0.500 F
```

Output
Volume   24.37 A^3/atom
Total magnetization   0.0 Bohr magnetons per cell
Polymorph energy (0 for the lowest one)   258 meV per atom
ΔE_f (raw)   -2.443 eV per formula unit

---

Compound: La3TlS
Source: Alexandria via LeMat-Bulk
Functional: GGA-PBE
Structure: optimized geometry

Cell and atoms, written as POSCAR:
```
La3TlS
1.0
5.421 -7.230 0.000
5.421 7.230 0.000
0.000 0.000 4.150
La Tl S
6 2 2
direct
0.186 0.430 0.500 La
0.187 0.813 0.000 La
0.430 0.186 0.500 La
0.570 0.814 0.500 La
0.813 0.187 0.000 La
0.814 0.570 0.500 La
0.000 0.000 0.500 Tl
0.500 0.500 0.000 Tl
0.000 0.500 0.000 S
0.500 0.000 0.000 S
```

Output
Volume   32.53 A^3/atom
Total magnetization   0.3 Bohr magnetons per cell
Polymorph energy (0 for the lowest one)   0 meV per atom
ΔE_f (raw)   -4.805 eV per formula unit